Record 1
Here is a PBEsol-optimized structure of SrMnSb2 from Alexandria. Energies are from meta-GGA SCAN.

a b c (Å): 3.518 4.057 7.397
angles (deg): 90.00 100.30 90.00
Space group P2/m (No. 10)
Symmetry-distinct sites (fractional):
1 Sr 0.000 0.000 0.000 [1 per cell]
2 Mn 0.500 0.000 0.500 [1 per cell]
3 Sb 0.351 0.500 0.713 [2 per cell]

Properties
Total moment: 0.957 μB per atom
Calculated density: 6.171 g/cm³
E_form (uncorrected): -0.42 eV/atom
DOS(E_F): 1.594 states/eV per cell

Record 2
Here is a PBEsol-optimized structure of SrMnSb2 from Alexandria. Energies are from meta-GGA SCAN.

a b c (Å): 7.448 7.448 7.448
angles (deg): 90.00 90.00 90.00
Space group F-43m (No. 216)
Symmetry-distinct sites (fractional):
1 Sr 0.000 0.000 0.000 [4 per cell]
2 Mn 0.250 0.250 0.250 [4 per cell]
3 Sb 0.000 0.000 0.500 [4 per cell]
4 Sb 0.250 0.250 0.750 [4 per cell]

Properties
Total moment: 1.082 μB per atom
Calculated density: 6.206 g/cm³
E_form (uncorrected): -0.05 eV/atom
DOS(E_F): 12.603 states/eV per cell

Record 3
Here is a PBEsol-optimized structure of SrMnSb from Alexandria. Energies are from meta-GGA SCAN.

a b c (Å): 3.698 3.698 11.402
angles (deg): 90.00 90.00 90.00
Space group I4mm (No. 107)
Symmetry-distinct sites (fractional):
1 Sr 0.000 0.000 0.000 [2 per cell]
2 Mn 0.000 0.000 0.713 [2 per cell]
3 Sb 0.000 0.000 0.291 [2 per cell]

Properties
Total moment: 1.386 μB per atom
Calculated density: 5.631 g/cm³
E_form (uncorrected): -0.28 eV/atom
DOS(E_F): 3.969 states/eV per cell